Record 1
EuSbH: relaxed, PBE.

abc: 3.296 3.296 6.340
angles: 105.07 105.07 90.00
Each line ends with the local moment (μB).
Fractional coordinates of all 3 atoms:
1 Eu 0.722 0.722 0.444  6.82
2 Sb 0.005 0.005 0.010  -0.04
3 H 0.273 0.273 0.546  -0.02

Values from the calculation:
* N(E_F): 5.3 states/eV per cell
* E_tot: -6.36 eV per atom

---

Record 2
EuScH2: relaxed, PBE.

abc: 3.400 3.400 6.009
angles: 73.57 73.57 60.00
Each line ends with the local moment (μB).
Fractional coordinates of all 4 atoms:
1 Eu 0.500 0.500 0.500  6.91
2 Sc 0.000 0.000 0.000  -0.04
3 H 0.727 0.727 0.820  -0.01
4 H 0.273 0.273 0.180  -0.01

Values from the calculation:
* N(E_F): 2.6 states/eV per cell
* E_tot: -6.13 eV per atom

---

Record 3
EuSc3H: relaxed, PBE.

abc: 4.718 4.718 4.718
angles: 90.00 90.00 90.00
Each line ends with the local moment (μB).
Fractional coordinates of all 5 atoms:
1 Eu 0.500 0.500 0.500  6.79
2 Sc 0.000 0.500 0.000  -0.03
3 Sc 0.000 0.000 0.500  -0.03
4 Sc 0.500 0.000 0.000  -0.03
5 H 0.000 0.000 0.000  0.01

Values from the calculation:
* N(E_F): 6.0 states/eV per cell
* E_tot: -6.54 eV per atom

---

Record 4
EuScH3: relaxed, PBE.

abc: 4.009 4.009 4.009
angles: 90.00 90.00 90.00
Each line ends with the local moment (μB).
Fractional coordinates of all 5 atoms:
1 Eu 0.500 0.500 0.500  6.97
2 Sc 0.000 0.000 0.000  0.45
3 H 0.000 0.500 0.000  -0.01
4 H 0.000 0.000 0.500  -0.01
5 H 0.500 0.000 0.000  -0.01

Values from the calculation:
* N(E_F): 3.6 states/eV per cell
* E_tot: -5.75 eV per atom

---

Record 5
EuHSe2: relaxed, PBE.

abc: 3.352 3.352 8.877
angles: 79.12 79.12 60.00
Each line ends with the local moment (μB).
Fractional coordinates of all 4 atoms:
1 Eu 0.000 0.000 0.000  7.18
2 H 0.500 0.500 0.500  0.01
3 Se 0.111 0.111 0.667  -0.04
4 Se 0.889 0.889 0.333  -0.04

Values from the calculation:
* N(E_F): 2.2 states/eV per cell
* E_tot: -4.67 eV per atom

---

Record 6
EuHSe: relaxed, PBE.

abc: 4.201 8.749 6.156
angles: 90.00 90.00 90.00
Each line ends with the local moment (μB).
Fractional coordinates of all 12 atoms:
1 Eu 0.250 0.389 0.290  6.61
2 Eu 0.750 0.611 0.710  6.61
3 Eu 0.750 0.111 0.790  6.61
4 Eu 0.250 0.889 0.210  6.61
5 H 0.250 0.596 0.539  -0.03
6 H 0.750 0.404 0.461  -0.03
7 H 0.750 0.904 0.039  -0.03
8 H 0.250 0.096 0.961  -0.03
9 Se 0.250 0.861 0.709  -0.09
10 Se 0.750 0.139 0.291  -0.09
11 Se 0.750 0.639 0.209  -0.09
12 Se 0.250 0.361 0.791  -0.09

Values from the calculation:
* N(E_F): 10.6 states/eV per cell
* E_tot: -6.71 eV per atom

---

Record 7
Eu2HSe: relaxed, PBE.

abc: 3.633 3.633 6.918
angles: 90.00 90.00 90.00
Each line ends with the local moment (μB).
Fractional coordinates of all 4 atoms:
1 Eu 0.000 0.000 0.746  7.09
2 Eu 0.000 0.000 0.254  7.09
3 H 0.500 0.500 0.500  -0.03
4 Se 0.500 0.500 0.000  -0.06

Values from the calculation:
* N(E_F): 1.7 states/eV per cell
* E_tot: -7.70 eV per atom

---

Record 8
Eu2HSe: relaxed, PBE.

abc: 4.099 4.099 6.985
angles: 72.94 72.94 60.00
Each line ends with the local moment (μB).
Fractional coordinates of all 4 atoms:
1 Eu 0.759 0.759 0.723  7.00
2 Eu 0.241 0.241 0.277  7.00
3 H 0.500 0.500 0.500  -0.03
4 Se 0.000 0.000 0.000  -0.07

Values from the calculation:
* N(E_F): 1.2 states/eV per cell
* E_tot: -7.96 eV per atom

---

Record 9
EuHSe: relaxed, PBE.

abc: 4.114 4.114 4.784
angles: 115.47 115.47 90.00
Each line ends with the local moment (μB).
Fractional coordinates of all 3 atoms:
1 Eu 0.981 0.981 0.961  6.71
2 H 0.285 0.285 0.570  -0.01
3 Se 0.584 0.584 0.169  -0.06

Values from the calculation:
* N(E_F): 6.9 states/eV per cell
* E_tot: -6.44 eV per atom

---

Record 10
Eu5Si3H: relaxed, PBE.

abc: 9.180 9.180 9.180
angles: 129.49 129.49 74.22
Each line ends with the local moment (μB).
Fractional coordinates of all 18 atoms:
1 Eu 0.500 0.500 0.000  6.80
2 Eu 0.000 0.000 0.000  6.80
3 Eu 0.523 0.023 0.843  6.76
4 Eu 0.180 0.680 0.157  6.76
5 Eu 0.023 0.180 0.500  6.76
6 Eu 0.680 0.523 0.500  6.76
7 Eu 0.477 0.977 0.157  6.76
8 Eu 0.820 0.320 0.843  6.76
9 Eu 0.977 0.820 0.500  6.76
10 Eu 0.320 0.477 0.500  6.76
11 Si 0.250 0.250 0.000  -0.12
12 Si 0.750 0.750 0.000  -0.12
13 Si 0.890 0.390 0.280  -0.09
14 Si 0.110 0.610 0.720  -0.09
15 Si 0.390 0.110 0.500  -0.09
16 Si 0.610 0.890 0.500  -0.09
17 H 0.250 0.750 0.500  -0.02
18 H 0.750 0.250 0.500  -0.02

Values from the calculation:
* N(E_F): 66.5 states/eV per cell
* E_tot: -8.42 eV per atom

---

Record 11
SmEuH2: relaxed, PBE.

abc: 3.604 3.604 6.319
angles: 73.43 73.43 60.00
Each line ends with the local moment (μB).
Fractional coordinates of all 4 atoms:
1 Eu 0.500 0.500 0.500  6.94
2 H 0.742 0.742 0.775  -0.01
3 H 0.258 0.258 0.225  -0.01
4 Sm 0.000 0.000 0.000  0.00

Values from the calculation:
* N(E_F): 2.2 states/eV per cell
* E_tot: -5.79 eV per atom

---

Record 12
Sm5Eu3H12: relaxed, PBE.

abc: 11.837 11.837 11.837
angles: 109.47 109.47 109.47
Each line ends with the local moment (μB).
Fractional coordinates of all 80 atoms:
1 Eu 0.750 0.375 0.125  6.83
2 Eu 0.875 0.750 0.125  6.83
3 Eu 0.375 0.750 0.625  6.83
4 Eu 0.250 0.125 0.375  6.83
5 Eu 0.875 0.125 0.250  6.83
6 Eu 0.375 0.625 0.250  6.83
7 Eu 0.625 0.375 0.750  6.83
8 Eu 0.125 0.875 0.750  6.83
9 Eu 0.750 0.875 0.625  6.83
10 Eu 0.625 0.250 0.375  6.83
11 Eu 0.125 0.250 0.875  6.83
12 Eu 0.250 0.625 0.875  6.83
13 Sm 0.125 0.375 0.250  0.22
14 Sm 0.000 0.500 0.000  0.16
15 Sm 0.000 0.000 0.000  0.16
16 Sm 0.375 0.250 0.125  0.22
17 Sm 0.500 0.000 0.500  0.16
18 Sm 0.500 0.500 0.000  0.16
19 Sm 0.125 0.750 0.375  0.22
20 Sm 0.750 0.125 0.875  0.22
21 Sm 0.750 0.625 0.375  0.22
22 Sm 0.375 0.125 0.750  0.22
23 Sm 0.625 0.875 0.250  0.22
24 Sm 0.500 0.500 0.500  0.16
25 Sm 0.500 0.000 0.000  0.16
26 Sm 0.000 0.000 0.500  0.16
27 Sm 0.250 0.375 0.625  0.22
28 Sm 0.250 0.875 0.125  0.22
29 Sm 0.000 0.500 0.500  0.16
30 Sm 0.875 0.250 0.625  0.22
31 Sm 0.625 0.750 0.875  0.22
32 Sm 0.875 0.625 0.750  0.22
33 H 0.720 0.148 0.057  -0.01
34 H 0.338 0.557 0.409  -0.01
35 H 0.943 0.352 0.280  -0.01
36 H 0.557 0.220 0.148  -0.01
37 H 0.572 0.720 0.662  -0.01
38 H 0.943 0.591 0.162  -0.01
39 H 0.338 0.780 0.428  -0.01
40 H 0.091 0.928 0.148  -0.01
41 H 0.591 0.943 0.662  -0.01
42 H 0.720 0.572 0.162  -0.01
43 H 0.780 0.443 0.352  -0.01
44 H 0.838 0.909 0.057  -0.01
45 H 0.148 0.720 0.557  -0.01
46 H 0.352 0.409 0.072  -0.01
47 H 0.072 0.909 0.352  -0.01
48 H 0.428 0.148 0.591  -0.01
49 H 0.072 0.162 0.220  -0.01
50 H 0.443 0.662 0.091  -0.01
51 H 0.838 0.928 0.280  -0.01
52 H 0.148 0.428 0.091  -0.01
53 H 0.352 0.943 0.780  -0.01
54 H 0.591 0.648 0.428  -0.01
55 H 0.909 0.838 0.557  -0.01
56 H 0.780 0.338 0.928  -0.01
57 H 0.409 0.352 0.572  -0.01
58 H 0.091 0.162 0.443  -0.01
59 H 0.220 0.662 0.072  -0.01
60 H 0.162 0.072 0.720  -0.01
61 H 0.648 0.057 0.220  -0.01
62 H 0.852 0.572 0.909  -0.01
63 H 0.557 0.338 0.909  -0.01
64 H 0.572 0.852 0.409  -0.01
65 H 0.928 0.838 0.780  -0.01
66 H 0.928 0.091 0.648  -0.01
67 H 0.852 0.280 0.443  -0.01
68 H 0.162 0.091 0.943  -0.01
69 H 0.648 0.591 0.928  -0.01
70 H 0.409 0.057 0.338  -0.01
71 H 0.280 0.428 0.838  -0.01
72 H 0.220 0.557 0.648  -0.01
73 H 0.909 0.072 0.852  -0.01
74 H 0.662 0.220 0.572  -0.01
75 H 0.443 0.780 0.852  -0.01
76 H 0.057 0.409 0.838  -0.01
77 H 0.428 0.280 0.338  -0.01
78 H 0.057 0.648 0.720  -0.01
79 H 0.662 0.443 0.591  -0.01
80 H 0.280 0.852 0.943  -0.01

Values from the calculation:
* N(E_F): 75.2 states/eV per cell
* E_tot: -5.14 eV per atom

---

Record 13
SmEu3H: relaxed, PBE.

abc: 5.311 5.311 5.311
angles: 90.00 90.00 90.00
Each line ends with the local moment (μB).
Fractional coordinates of all 5 atoms:
1 Eu 0.000 0.500 0.000  6.96
2 Eu 0.000 0.000 0.500  6.96
3 Eu 0.500 0.000 0.000  6.96
4 H 0.000 0.000 0.000  -0.02
5 Sm 0.500 0.500 0.500  0.26

Values from the calculation:
* N(E_F): 3.0 states/eV per cell
* E_tot: -7.89 eV per atom

---

Record 14
EuSnH2: relaxed, PBE.

abc: 3.700 3.700 6.011
angles: 72.07 72.07 60.00
Each line ends with the local moment (μB).
Fractional coordinates of all 4 atoms:
1 Eu 0.500 0.500 0.500  6.62
2 H 0.217 0.217 0.349  -0.02
3 H 0.783 0.783 0.651  -0.02
4 Sn 0.000 0.000 0.000  0.02

Values from the calculation:
* N(E_F): 4.3 states/eV per cell
* E_tot: -5.41 eV per atom

---

Record 15
SrEu2H: relaxed, PBE.

abc: 3.859 3.859 10.516
angles: 79.43 79.43 60.00
Each line ends with the local moment (μB).
Fractional coordinates of all 4 atoms:
1 Eu 0.120 0.120 0.639  7.11
2 Eu 0.880 0.880 0.361  7.11
3 Sr 0.000 0.000 0.000  0.02
4 H 0.500 0.500 0.500  -0.03

Values from the calculation:
* N(E_F): 5.0 states/eV per cell
* E_tot: -6.45 eV per atom

---

Record 16
SrEuH: relaxed, PBE.

abc: 3.954 3.954 6.381
angles: 90.00 90.00 120.00
Each line ends with the local moment (μB).
Fractional coordinates of all 3 atoms:
1 Eu 0.333 0.667 0.565  7.05
2 Sr 0.000 0.000 0.091  0.09
3 H 0.667 0.333 0.344  -0.01

Values from the calculation:
* N(E_F): 2.5 states/eV per cell
* E_tot: -5.28 eV per atom

---

Record 17
Sr5Eu3H12: relaxed, PBE.

abc: 12.447 12.447 12.447
angles: 109.47 109.47 109.47
Each line ends with the local moment (μB).
Fractional coordinates of all 80 atoms:
1 Eu 0.750 0.375 0.125  6.94
2 Eu 0.875 0.750 0.125  6.94
3 Eu 0.375 0.750 0.625  6.94
4 Eu 0.250 0.125 0.375  6.94
5 Eu 0.875 0.125 0.250  6.94
6 Eu 0.375 0.625 0.250  6.94
7 Eu 0.625 0.375 0.750  6.94
8 Eu 0.125 0.875 0.750  6.94
9 Eu 0.750 0.875 0.625  6.94
10 Eu 0.625 0.250 0.375  6.94
11 Eu 0.125 0.250 0.875  6.94
12 Eu 0.250 0.625 0.875  6.94
13 Sr 0.125 0.375 0.250  0.12
14 Sr 0.000 0.500 0.000  0.10
15 Sr 0.000 0.000 0.000  0.10
16 Sr 0.375 0.250 0.125  0.12
17 Sr 0.500 0.000 0.500  0.10
18 Sr 0.500 0.500 0.000  0.10
19 Sr 0.125 0.750 0.375  0.12
20 Sr 0.750 0.125 0.875  0.12
21 Sr 0.750 0.625 0.375  0.12
22 Sr 0.375 0.125 0.750  0.12
23 Sr 0.625 0.875 0.250  0.12
24 Sr 0.500 0.500 0.500  0.10
25 Sr 0.500 0.000 0.000  0.10
26 Sr 0.000 0.000 0.500  0.10
27 Sr 0.250 0.375 0.625  0.12
28 Sr 0.250 0.875 0.125  0.12
29 Sr 0.000 0.500 0.500  0.10
30 Sr 0.875 0.250 0.625  0.12
31 Sr 0.625 0.750 0.875  0.12
32 Sr 0.875 0.625 0.750  0.12
33 H 0.725 0.150 0.061  -0.01
34 H 0.336 0.561 0.411  -0.01
35 H 0.939 0.350 0.275  -0.01
36 H 0.561 0.225 0.150  -0.01
37 H 0.575 0.725 0.664  -0.01
38 H 0.939 0.589 0.164  -0.01
39 H 0.336 0.775 0.425  -0.01
40 H 0.089 0.925 0.150  -0.01
41 H 0.589 0.939 0.664  -0.01
42 H 0.725 0.575 0.164  -0.01
43 H 0.775 0.439 0.350  -0.01
44 H 0.836 0.911 0.061  -0.01
45 H 0.150 0.725 0.561  -0.01
46 H 0.350 0.411 0.075  -0.01
47 H 0.075 0.911 0.350  -0.01
48 H 0.425 0.150 0.589  -0.01
49 H 0.075 0.164 0.225  -0.01
50 H 0.439 0.664 0.089  -0.01
51 H 0.836 0.925 0.275  -0.01
52 H 0.150 0.425 0.089  -0.01
53 H 0.350 0.939 0.775  -0.01
54 H 0.589 0.650 0.425  -0.01
55 H 0.911 0.836 0.561  -0.01
56 H 0.775 0.336 0.925  -0.01
57 H 0.411 0.350 0.575  -0.01
58 H 0.089 0.164 0.439  -0.01
59 H 0.225 0.664 0.075  -0.01
60 H 0.164 0.075 0.725  -0.01
61 H 0.650 0.061 0.225  -0.01
62 H 0.850 0.575 0.911  -0.01
63 H 0.561 0.336 0.911  -0.01
64 H 0.575 0.850 0.411  -0.01
65 H 0.925 0.836 0.775  -0.01
66 H 0.925 0.089 0.650  -0.01
67 H 0.850 0.275 0.439  -0.01
68 H 0.164 0.089 0.939  -0.01
69 H 0.650 0.589 0.925  -0.01
70 H 0.411 0.061 0.336  -0.01
71 H 0.275 0.425 0.836  -0.01
72 H 0.225 0.561 0.650  -0.01
73 H 0.911 0.075 0.850  -0.01
74 H 0.664 0.225 0.575  -0.01
75 H 0.439 0.775 0.850  -0.01
76 H 0.061 0.411 0.836  -0.01
77 H 0.425 0.275 0.336  -0.01
78 H 0.061 0.650 0.725  -0.01
79 H 0.664 0.439 0.589  -0.01
80 H 0.275 0.850 0.939  -0.01

Values from the calculation:
* N(E_F): 71.4 states/eV per cell
* E_tot: -4.33 eV per atom

---

Record 18
SrEuH: relaxed, PBE.

abc: 3.650 3.650 7.322
angles: 104.43 104.43 90.00
Each line ends with the local moment (μB).
Fractional coordinates of all 3 atoms:
1 Eu 0.033 0.033 0.066  7.14
2 Sr 0.754 0.754 0.509  0.10
3 H 0.213 0.213 0.426  0.00

Values from the calculation:
* N(E_F): 1.6 states/eV per cell
* E_tot: -5.16 eV per atom

---

Record 19
TbEu3H: relaxed, PBE.

abc: 5.286 5.286 5.286
angles: 90.00 90.00 90.00
Each line ends with the local moment (μB).
Fractional coordinates of all 5 atoms:
1 Eu 0.000 0.500 0.000  6.96
2 Eu 0.000 0.000 0.500  6.96
3 Eu 0.500 0.000 0.000  6.96
4 H 0.000 0.000 0.000  -0.02
5 Tb 0.500 0.500 0.500  0.33

Values from the calculation:
* N(E_F): 3.2 states/eV per cell
* E_tot: -7.86 eV per atom

---

Record 20
TbEuH: relaxed, PBE.

abc: 3.674 3.674 5.943
angles: 90.00 90.00 120.00
Each line ends with the local moment (μB).
Fractional coordinates of all 3 atoms:
1 Eu 0.000 0.000 0.916  -6.97
2 H 0.333 0.667 0.650  0.01
3 Tb 0.667 0.333 0.434  -0.21

Values from the calculation:
* N(E_F): 3.4 states/eV per cell
* E_tot: -6.27 eV per atom